# Al2TlSe

A relaxed Al2TlSe crystal (GGA-PBE, the Alexandria database).

Values from the calculation:
**Magnetization**: 0.0 μB per formula unit
**Total DFT energy (no corrections)**: -3.30 eV/atom
**Polymorph energy (0 for the lowest one)**: 153.1 meV per atom
**E_form (uncorrected)**: 0.73 kcal/mol of atoms

```
4
Lattice="-3.0258 -5.0448 -0.0490 3.1007 -4.5756 2.0143 -2.3025 5.2572 1.2917" Properties=species:S:1:pos:R:3 pbc="T T T"
Al 0.0723 -9.2938 1.8985
Al -2.6467 -2.1336 1.0788
Se 0.0412 -5.2914 1.0809
Tl 0.4179 -2.0751 2.1465
```